The following is a PBE calculation of a geometry-optimized K2Cl structure, from the Alexandria database.

abc: 6.8153 6.8153 6.8153
angles: 109.19 109.19 110.04
Closest atoms and distances in Å follow each position.
Positions (direct):
K  0.2156  0.7156  0.9313  4 Cl 3.43
K  0.2844  0.2156  0.5000  4 Cl 3.43
K  0.7156  0.7844  0.5000  4 Cl 3.43
K  0.7844  0.2844  0.0687  4 Cl 3.43
Cl  0.2500  0.2500  0.0000  8 K 3.43
Cl  0.7500  0.7500  0.0000  8 K 3.43

Summary:
Formation energy (no corrections) = -1.13 eV per atom
E_tot = -2.47 eV per atom
Excess energy over the best structure of this formula in the dataset = 119 meV/atom



The following is a PBE calculation of a geometry-optimized EuMgAlCd structure, from the Alexandria database.

abc: 5.1311 5.1311 5.1311
angles: 60.00 60.00 60.00
Closest atoms and distances in Å follow each position.
Positions (direct):
Eu  0.0000  0.0000  0.0000  4 Al 3.14, 4 Cd 3.14
Mg  0.5000  0.5000  0.5000  4 Cd 3.14, 4 Al 3.14
Al  0.7500  0.7500  0.7500  4 Eu 3.14, 4 Mg 3.14
Cd  0.2500  0.2500  0.2500  4 Mg 3.14, 4 Eu 3.14

Summary:
E_tot = -4.35 eV per atom
Energy of formation = -0.222 eV per atom



The following is a PBE calculation of a geometry-optimized MgPtBr2 structure, from the Alexandria database.

abc: 5.2971 5.2971 5.2971
angles: 136.95 105.93 89.70
Closest atoms and distances in Å follow each position.
Positions (direct):
Mg  0.0000  0.0000  0.0000  4 Br 2.73
Pt  0.5000  0.5000  0.0000  4 Br 2.68
Br  0.2550  0.7550  0.5000  2 Pt 2.68, 2 Mg 2.73
Br  0.7450  0.2450  0.5000  2 Pt 2.68, 2 Mg 2.73

Summary:
Formation energy (no corrections) = -0.12 eV per atom
E_tot = -2.86 eV per atom
Excess energy over the best structure of this formula in the dataset = 549 meV/atom



The following is a PBE calculation of a geometry-optimized CsAs4Se4 structure, from the Alexandria database.

abc: 11.4841 11.4841 4.7995
angles: 90.00 90.00 90.00
Closest atoms and distances in Å follow each position.
Positions (direct):
Cs  0.2500  0.2500  0.2500  8 As 3.81-4.23, 4 Se 3.93
Cs  0.7500  0.7500  0.7500  8 As 3.81-4.23, 4 Se 3.93
As  0.0358  0.4301  0.6775  2 Se 2.45-2.52, 1 As 2.48
As  0.0699  0.0358  0.8225  2 Se 2.45-2.52, 1 As 2.48
As  0.4301  0.4642  0.8225  2 Se 2.45-2.52, 1 As 2.48
As  0.4642  0.0699  0.6775  2 Se 2.45-2.52, 1 As 2.48
As  0.5358  0.9301  0.3225  2 Se 2.45-2.52, 1 As 2.48
As  0.5699  0.5358  0.1775  2 Se 2.45-2.52, 1 As 2.48
As  0.9301  0.9642  0.1775  2 Se 2.45-2.52, 1 As 2.48
As  0.9642  0.5699  0.3225  2 Se 2.45-2.52, 1 As 2.48
Se  0.0596  0.8626  0.5256  2 As 2.45-2.52
Se  0.1374  0.5596  0.0256  2 As 2.45-2.52
Se  0.3626  0.9404  0.0256  2 As 2.45-2.52
Se  0.4404  0.6374  0.5256  2 As 2.45-2.52
Se  0.5596  0.3626  0.4744  2 As 2.45-2.52
Se  0.6374  0.0596  0.9744  2 As 2.45-2.52
Se  0.8626  0.4404  0.9744  2 As 2.45-2.52
Se  0.9404  0.1374  0.4744  2 As 2.45-2.52

Summary:
Formation energy (no corrections) = -0.17 eV per atom
E_tot = -3.88 eV per atom



- Which of these has the highest E_tot?
  K2Cl